Record 1
Here is Tb2GaGe3Pd4 after structural relaxation from the Alexandria database. Energies are from PBE-GGA. Values from VASP.

Cell and atoms, written as Quantum ESPRESSO input:
```
&SYSTEM
  ibrav = 0, nat = 10, ntyp = 4
/
ATOMIC_SPECIES
Tb 158.93 Tb.upf
Ga 69.72 Ga.upf
Ge 72.64 Ge.upf
Pd 106.42 Pd.upf
ATOMIC_POSITIONS crystal
Tb 0.000 0.500 0.249
Tb 0.500 0.000 0.751
Ga 0.500 0.500 0.000
Ge 0.000 0.000 0.000
Ge 0.000 0.500 0.631
Ge 0.500 0.000 0.369
Pd 0.000 0.000 0.500
Pd 0.000 0.500 0.867
Pd 0.500 0.000 0.133
Pd 0.500 0.500 0.500
CELL_PARAMETERS angstrom
4.255 0.000 0.000
0.000 4.255 0.000
0.000 0.000 10.321
```

Values from the calculation:
The density of states at the Fermi level comes out at 5.9 states/eV per cell. The calculation puts the total magnetic moment at 0.00 μB per cell. Its formation enthalpy at 0 K is -803 meV/atom.

***

Record 2
Here is GaTcGePd after structural relaxation from the Alexandria database. Energies are from PBE-GGA. Values from VASP.

Cell and atoms, written as Quantum ESPRESSO input:
```
&SYSTEM
  ibrav = 0, nat = 16, ntyp = 4
/
ATOMIC_SPECIES
Ga 69.72 Ga.upf
Tc 98.00 Tc.upf
Ge 72.64 Ge.upf
Pd 106.42 Pd.upf
ATOMIC_POSITIONS crystal
Ga 0.000 0.000 0.000
Ga 0.000 0.500 0.500
Ga 0.500 0.000 0.500
Ga 0.500 0.500 0.000
Tc 0.250 0.250 0.250
Tc 0.250 0.750 0.750
Tc 0.750 0.250 0.750
Tc 0.750 0.750 0.250
Ge 0.000 0.000 0.500
Ge 0.000 0.500 0.000
Ge 0.500 0.000 0.000
Ge 0.500 0.500 0.500
Pd 0.250 0.250 0.750
Pd 0.250 0.750 0.250
Pd 0.750 0.250 0.250
Pd 0.750 0.750 0.750
CELL_PARAMETERS angstrom
6.172 0.000 0.000
0.000 6.172 0.000
0.000 0.000 6.172
```

Values from the calculation:
The density of states at the Fermi level comes out at 3.5 states/eV per cell. The calculation puts the total magnetic moment at 0.00 μB per cell. Its formation enthalpy at 0 K is -207 meV/atom.

***

Record 3
Here is Th2GaGe3Pd4 after structural relaxation from the Alexandria database. Energies are from PBE-GGA. Values from VASP.

Cell and atoms, written as Quantum ESPRESSO input:
```
&SYSTEM
  ibrav = 0, nat = 10, ntyp = 4
/
ATOMIC_SPECIES
Th 232.04 Th.upf
Ga 69.72 Ga.upf
Ge 72.64 Ge.upf
Pd 106.42 Pd.upf
ATOMIC_POSITIONS crystal
Th 0.000 0.500 0.245
Th 0.500 0.000 0.755
Ga 0.000 0.000 0.500
Ge 0.000 0.500 0.867
Ge 0.500 0.000 0.133
Ge 0.500 0.500 0.500
Pd 0.000 0.000 0.000
Pd 0.000 0.500 0.627
Pd 0.500 0.000 0.373
Pd 0.500 0.500 0.000
CELL_PARAMETERS angstrom
4.341 0.000 0.000
0.000 4.341 0.000
0.000 0.000 10.212
```

Values from the calculation:
The density of states at the Fermi level comes out at 4.9 states/eV per cell. The calculation puts the total magnetic moment at 0.00 μB per cell. Its formation enthalpy at 0 K is -822 meV/atom.

***

Record 4
Here is Th2GaGe4Pd3 after structural relaxation from the Alexandria database. Energies are from PBE-GGA. Values from VASP.

Cell and atoms, written as Quantum ESPRESSO input:
```
&SYSTEM
  ibrav = 0, nat = 10, ntyp = 4
/
ATOMIC_SPECIES
Th 232.04 Th.upf
Ga 69.72 Ga.upf
Ge 72.64 Ge.upf
Pd 106.42 Pd.upf
ATOMIC_POSITIONS crystal
Th 0.000 0.500 0.246
Th 0.500 0.000 0.754
Ga 0.000 0.000 0.500
Ge 0.000 0.000 0.000
Ge 0.000 0.500 0.636
Ge 0.500 0.000 0.364
Ge 0.500 0.500 0.000
Pd 0.000 0.500 0.875
Pd 0.500 0.000 0.125
Pd 0.500 0.500 0.500
CELL_PARAMETERS angstrom
4.366 0.000 0.000
0.000 4.366 0.000
0.000 0.000 10.228
```

Values from the calculation:
The density of states at the Fermi level comes out at 4.5 states/eV per cell. The calculation puts the total magnetic moment at 0.00 μB per cell. Its formation enthalpy at 0 K is -707 meV/atom.

***

Record 5
Here is UGaGePd after structural relaxation from the Alexandria database. Energies are from PBE-GGA. Values from VASP.

Cell and atoms, written as Quantum ESPRESSO input:
```
&SYSTEM
  ibrav = 0, nat = 16, ntyp = 4
/
ATOMIC_SPECIES
U 238.03 U.upf
Ga 69.72 Ga.upf
Ge 72.64 Ge.upf
Pd 106.42 Pd.upf
ATOMIC_POSITIONS crystal
U 0.000 0.000 0.000
U 0.000 0.500 0.500
U 0.500 0.000 0.500
U 0.500 0.500 0.000
Ga 0.250 0.250 0.750
Ga 0.250 0.750 0.250
Ga 0.750 0.250 0.250
Ga 0.750 0.750 0.750
Ge 0.250 0.250 0.250
Ge 0.250 0.750 0.750
Ge 0.750 0.250 0.750
Ge 0.750 0.750 0.250
Pd 0.000 0.000 0.500
Pd 0.000 0.500 0.000
Pd 0.500 0.000 0.000
Pd 0.500 0.500 0.500
CELL_PARAMETERS angstrom
6.716 0.000 0.000
0.000 6.716 0.000
0.000 0.000 6.716
```

Values from the calculation:
The density of states at the Fermi level comes out at 30.9 states/eV per cell. The calculation puts the total magnetic moment at 11.23 μB per cell. Its formation enthalpy at 0 K is -183 meV/atom.

***

Record 6
Here is Y2GaGePd6 after structural relaxation from the Alexandria database. Energies are from PBE-GGA. Values from VASP.

Cell and atoms, written as Quantum ESPRESSO input:
```
&SYSTEM
  ibrav = 0, nat = 10, ntyp = 4
/
ATOMIC_SPECIES
Y 88.91 Y.upf
Ga 69.72 Ga.upf
Ge 72.64 Ge.upf
Pd 106.42 Pd.upf
ATOMIC_POSITIONS crystal
Y 0.000 0.000 0.250
Y 0.000 0.000 0.750
Ga 0.500 0.500 0.000
Ge 0.500 0.500 0.500
Pd 0.001 0.501 0.194
Pd 0.327 0.327 0.578
Pd 0.499 0.999 0.806
Pd 0.501 0.001 0.194
Pd 0.673 0.673 0.422
Pd 0.999 0.499 0.806
CELL_PARAMETERS angstrom
5.809 -2.736 0.000
5.809 2.736 0.000
-5.214 0.000 5.841
```

Values from the calculation:
The density of states at the Fermi level comes out at 5.4 states/eV per cell. The calculation puts the total magnetic moment at 0.00 μB per cell. Its formation enthalpy at 0 K is -705 meV/atom.

***

Record 7
Here is Pm5Ga2Ge5 after structural relaxation from the Alexandria database. Energies are from PBE-GGA. Values from VASP.

Cell and atoms, written as Quantum ESPRESSO input:
```
&SYSTEM
  ibrav = 0, nat = 12, ntyp = 3
/
ATOMIC_SPECIES
Pm 145.00 Pm.upf
Ga 69.72 Ga.upf
Ge 72.64 Ge.upf
ATOMIC_POSITIONS crystal
Pm 0.000 0.000 0.000
Pm 0.108 0.108 0.426
Pm 0.202 0.202 0.833
Pm 0.798 0.798 0.167
Pm 0.892 0.892 0.574
Ga 0.359 0.359 0.740
Ga 0.641 0.641 0.260
Ge 0.258 0.258 0.318
Ge 0.434 0.434 0.144
Ge 0.500 0.500 0.500
Ge 0.566 0.566 0.856
Ge 0.742 0.742 0.682
CELL_PARAMETERS angstrom
7.553 -2.100 0.000
7.553 2.100 0.000
-7.519 0.000 8.993
```

Values from the calculation:
The density of states at the Fermi level comes out at 6.0 states/eV per cell. The calculation puts the total magnetic moment at 0.00 μB per cell. Its formation enthalpy at 0 K is -736 meV/atom.

***

Record 8
Here is Pm5GaGe6 after structural relaxation from the Alexandria database. Energies are from PBE-GGA. Values from VASP.

Cell and atoms, written as Quantum ESPRESSO input:
```
&SYSTEM
  ibrav = 0, nat = 12, ntyp = 3
/
ATOMIC_SPECIES
Pm 145.00 Pm.upf
Ga 69.72 Ga.upf
Ge 72.64 Ge.upf
ATOMIC_POSITIONS crystal
Pm 0.000 0.000 0.000
Pm 0.186 0.814 0.500
Pm 0.386 0.614 0.000
Pm 0.614 0.386 0.000
Pm 0.814 0.186 0.500
Ga 0.500 0.500 0.500
Ge 0.008 0.619 0.872
Ge 0.188 0.188 0.607
Ge 0.381 0.992 0.128
Ge 0.619 0.008 0.872
Ge 0.812 0.812 0.393
Ge 0.992 0.381 0.128
CELL_PARAMETERS angstrom
3.762 -7.632 0.000
3.762 7.632 0.000
-2.490 0.000 5.229
```

Values from the calculation:
The density of states at the Fermi level comes out at 5.2 states/eV per cell. The calculation puts the total magnetic moment at 0.00 μB per cell. Its formation enthalpy at 0 K is -678 meV/atom.

***

Record 9
Here is Pm3Ga2Ge3 after structural relaxation from the Alexandria database. Energies are from PBE-GGA. Values from VASP.

Cell and atoms, written as Quantum ESPRESSO input:
```
&SYSTEM
  ibrav = 0, nat = 16, ntyp = 3
/
ATOMIC_SPECIES
Pm 145.00 Pm.upf
Ga 69.72 Ga.upf
Ge 72.64 Ge.upf
ATOMIC_POSITIONS crystal
Pm 0.072 0.928 0.750
Pm 0.363 0.637 0.598
Pm 0.363 0.637 0.902
Pm 0.637 0.363 0.098
Pm 0.637 0.363 0.402
Pm 0.928 0.072 0.250
Ga 0.359 0.641 0.127
Ga 0.359 0.641 0.373
Ga 0.641 0.359 0.627
Ga 0.641 0.359 0.873
Ge 0.094 0.906 0.545
Ge 0.094 0.906 0.955
Ge 0.197 0.803 0.250
Ge 0.803 0.197 0.750
Ge 0.906 0.094 0.045
Ge 0.906 0.094 0.455
CELL_PARAMETERS angstrom
2.123 -5.604 0.000
2.123 5.604 0.000
0.000 0.000 15.453
```

Values from the calculation:
For the relative energy among the computed polymorphs, the calculation gives 4 meV/atom. The density of states at the Fermi level comes out at 8.2 states/eV per cell. The calculation puts the total magnetic moment at 0.00 μB per cell. Its formation enthalpy at 0 K is -676 meV/atom.

***

Record 10
Here is Pm2Ga2Ge after structural relaxation from the Alexandria database. Energies are from PBE-GGA. Values from VASP.

Cell and atoms, written as Quantum ESPRESSO input:
```
&SYSTEM
  ibrav = 0, nat = 10, ntyp = 3
/
ATOMIC_SPECIES
Pm 145.00 Pm.upf
Ga 69.72 Ga.upf
Ge 72.64 Ge.upf
ATOMIC_POSITIONS crystal
Pm 0.000 0.000 0.000
Pm 0.000 0.000 0.253
Pm 0.000 0.500 0.500
Pm 0.000 0.500 0.753
Ga 0.500 0.000 0.429
Ga 0.500 0.000 0.623
Ga 0.500 0.500 0.123
Ga 0.500 0.500 0.929
Ge 0.500 0.000 0.822
Ge 0.500 0.500 0.322
CELL_PARAMETERS angstrom
4.152 0.000 0.000
0.000 4.019 0.000
0.000 0.000 14.118
```

Values from the calculation:
For the relative energy among the computed polymorphs, the calculation gives 34 meV/atom. The density of states at the Fermi level comes out at 4.8 states/eV per cell. The calculation puts the total magnetic moment at 0.00 μB per cell. Its formation enthalpy at 0 K is -652 meV/atom.

***

Record 11
Here is Pm5GaGe2 after structural relaxation from the Alexandria database. Energies are from PBE-GGA. Values from VASP.

Cell and atoms, written as Quantum ESPRESSO input:
```
&SYSTEM
  ibrav = 0, nat = 16, ntyp = 3
/
ATOMIC_SPECIES
Pm 145.00 Pm.upf
Ga 69.72 Ga.upf
Ge 72.64 Ge.upf
ATOMIC_POSITIONS crystal
Pm 0.000 0.000 0.000
Pm 0.029 0.529 0.847
Pm 0.182 0.029 0.500
Pm 0.318 0.818 0.847
Pm 0.471 0.318 0.500
Pm 0.500 0.500 0.000
Pm 0.529 0.682 0.500
Pm 0.682 0.182 0.153
Pm 0.818 0.971 0.500
Pm 0.971 0.471 0.153
Ga 0.250 0.250 0.000
Ga 0.750 0.750 0.000
Ge 0.126 0.374 0.500
Ge 0.374 0.874 0.248
Ge 0.626 0.126 0.752
Ge 0.874 0.626 0.500
CELL_PARAMETERS angstrom
-3.931 3.931 7.084
3.931 -3.931 7.084
3.931 3.931 -7.084
```

Values from the calculation:
The density of states at the Fermi level comes out at 13.6 states/eV per cell. The calculation puts the total magnetic moment at 0.00 μB per cell. Its formation enthalpy at 0 K is -621 meV/atom.

***

Record 12
Here is Pm3GaGe after structural relaxation from the Alexandria database. Energies are from PBE-GGA. Values from VASP.

Cell and atoms, written as Quantum ESPRESSO input:
```
&SYSTEM
  ibrav = 0, nat = 10, ntyp = 3
/
ATOMIC_SPECIES
Pm 145.00 Pm.upf
Ga 69.72 Ga.upf
Ge 72.64 Ge.upf
ATOMIC_POSITIONS crystal
Pm 0.085 0.915 0.750
Pm 0.349 0.651 0.569
Pm 0.349 0.651 0.931
Pm 0.651 0.349 0.069
Pm 0.651 0.349 0.431
Pm 0.915 0.085 0.250
Ga 0.231 0.769 0.250
Ga 0.769 0.231 0.750
Ge 0.000 0.000 0.000
Ge 0.000 0.000 0.500
CELL_PARAMETERS angstrom
2.245 -5.894 0.000
2.245 5.894 0.000
0.000 0.000 10.984
```

Values from the calculation:
The density of states at the Fermi level comes out at 10.1 states/eV per cell. The calculation puts the total magnetic moment at 0.53 μB per cell. Its formation enthalpy at 0 K is -514 meV/atom.

***

Copy entry 9 word for word.
Here is Pm3Ga2Ge3 after structural relaxation from the Alexandria database. Energies are from PBE-GGA. Values from VASP.

Cell and atoms, written as Quantum ESPRESSO input:
```
&SYSTEM
  ibrav = 0, nat = 16, ntyp = 3
/
ATOMIC_SPECIES
Pm 145.00 Pm.upf
Ga 69.72 Ga.upf
Ge 72.64 Ge.upf
ATOMIC_POSITIONS crystal
Pm 0.072 0.928 0.750
Pm 0.363 0.637 0.598
Pm 0.363 0.637 0.902
Pm 0.637 0.363 0.098
Pm 0.637 0.363 0.402
Pm 0.928 0.072 0.250
Ga 0.359 0.641 0.127
Ga 0.359 0.641 0.373
Ga 0.641 0.359 0.627
Ga 0.641 0.359 0.873
Ge 0.094 0.906 0.545
Ge 0.094 0.906 0.955
Ge 0.197 0.803 0.250
Ge 0.803 0.197 0.750
Ge 0.906 0.094 0.045
Ge 0.906 0.094 0.455
CELL_PARAMETERS angstrom
2.123 -5.604 0.000
2.123 5.604 0.000
0.000 0.000 15.453
```

Values from the calculation:
For the relative energy among the computed polymorphs, the calculation gives 4 meV/atom. The density of states at the Fermi level comes out at 8.2 states/eV per cell. The calculation puts the total magnetic moment at 0.00 μB per cell. Its formation enthalpy at 0 K is -676 meV/atom.

***

What did the eighth record say?
Here is Pm5GaGe6 after structural relaxation from the Alexandria database. Energies are from PBE-GGA. Values from VASP.

Cell and atoms, written as Quantum ESPRESSO input:
```
&SYSTEM
  ibrav = 0, nat = 12, ntyp = 3
/
ATOMIC_SPECIES
Pm 145.00 Pm.upf
Ga 69.72 Ga.upf
Ge 72.64 Ge.upf
ATOMIC_POSITIONS crystal
Pm 0.000 0.000 0.000
Pm 0.186 0.814 0.500
Pm 0.386 0.614 0.000
Pm 0.614 0.386 0.000
Pm 0.814 0.186 0.500
Ga 0.500 0.500 0.500
Ge 0.008 0.619 0.872
Ge 0.188 0.188 0.607
Ge 0.381 0.992 0.128
Ge 0.619 0.008 0.872
Ge 0.812 0.812 0.393
Ge 0.992 0.381 0.128
CELL_PARAMETERS angstrom
3.762 -7.632 0.000
3.762 7.632 0.000
-2.490 0.000 5.229
```

Values from the calculation:
The density of states at the Fermi level comes out at 5.2 states/eV per cell. The calculation puts the total magnetic moment at 0.00 μB per cell. Its formation enthalpy at 0 K is -678 meV/atom.

***

Q: Which formula does entry 6 have?
A: Y2GaGePd6